Density functional theory data (GGA-PBE) for an optimized crystal structure of KRb4Cu3F12.

It has space group Im-3m (No. 229), with a = 8.601 Å, b = 8.601 Å, c = 8.601 Å, α = 90.00°, β = 90.00° and γ = 90.00°. The inequivalent atoms are K at (0.000, 0.000, 0.000), Rb at (0.250, 0.250, 0.250), Cu at (0.000, 0.000, 0.500), F at (0.000, 0.000, 0.284) and F at (0.000, 0.250, 0.500).

The calculation puts the uncorrected formation energy at -43.8 eV per formula unit.